No. 1
Entry from Alexandria: Sm3Hg3Au2 after structural relaxation (PBE-GGA).

The structure in POSCAR format:
```
Sm3Hg3Au2
1.0
-3.805 0.752 -3.674
-3.540 -0.920 3.478
-0.210 7.205 1.693
Sm Au Hg
3 2 3
Direct
0.000 0.500 0.000
0.000 0.500 0.500
0.500 0.000 0.500
0.000 0.000 0.266
0.000 0.000 0.734
0.500 0.500 0.760
0.500 0.500 0.240
0.500 0.000 0.000
```

Computed properties:
ΔH_f (0 K)   -0.529 eV/atom
DOS(E_F)   5.4 states/eV per cell
Symmetry   Pmmm (47)
Spin magnetization   0.0 μB per formula unit
Energy above the lowest structure with this stoichiometry   0.081 eV/atom



No. 2
Entry from Alexandria: ZnCd3N after structural relaxation (PBE-GGA).

The structure in POSCAR format:
```
ZnCd3N
1.0
5.005 0.000 0.000
0.000 5.005 0.000
0.000 0.000 5.005
Cd Zn N
3 1 1
Direct
0.000 0.000 0.500
0.500 0.000 0.000
0.000 0.500 0.000
0.000 0.000 0.000
0.500 0.500 0.500
```

Computed properties:
DOS(E_F)   5.9 states/eV per cell
Symmetry   Pm-3m (221)
Spin magnetization   0.0 μB per formula unit
E_form (uncorrected)   1.331 eV per atom
Energy above the lowest structure with this stoichiometry   0.817 eV/atom



No. 3
Entry from Alexandria: HfOsN3 after structural relaxation (PBE-GGA).

The structure in POSCAR format:
```
HfOsN3
1.0
-0.121 3.351 -2.322
-0.186 -2.325 -3.346
-4.073 0.006 0.222
Hf N Os
1 3 1
Direct
0.000 0.000 0.000
0.000 0.000 0.500
0.500 0.000 0.000
0.000 0.500 0.000
0.500 0.500 0.500
```

Computed properties:
DOS(E_F)   5.3 states/eV per cell
Symmetry   Pm-3m (221)
Spin magnetization   0.8 μB per formula unit
E_form (uncorrected)   1.507 eV per atom